Entry 1:
An optimized crystal structure of Ta2CdAs, computed with PBE.

abc: 2.9100 4.8559 5.4277
angles: 90.00 101.02 90.00
Element x y z (fractional)
Ta 0.0000 0.0000 0.0000
Ta 0.2579 0.5000 0.7498
Cd 0.6256 0.0000 0.4884
As 0.0576 0.5000 0.2071

N(E_F)	0.698	states/eV/atom
raw total energy	-7.11	eV per atom
calculated density	12.11	g cm⁻³
SG	No. 6
distance to the lowest polymorph of the same formula	0.175	eV per atom

---

Entry 2:
An optimized crystal structure of Th6Sb2Os3Se, computed with PBE.

abc: 9.7428 9.7428 8.8056
angles: 106.38 106.38 24.99
Element x y z (fractional)
Th 0.0098 0.0098 0.2321
Th 0.3279 0.3279 0.4441
Th 0.3439 0.3439 0.8956
Th 0.6561 0.6561 0.1044
Th 0.6721 0.6721 0.5559
Th 0.9902 0.9902 0.7679
Sb 0.1660 0.1660 0.8294
Sb 0.8340 0.8340 0.1706
Os 0.1657 0.1657 0.3348
Os 0.5000 0.5000 0.0000
Os 0.8343 0.8343 0.6652
Se 0.5000 0.5000 0.5000

N(E_F)	0.611	states/eV/atom
raw total energy	-8.21	eV per atom
calculated density	11.23	g cm⁻³
SG	No. 12

---

Entry 3:
An optimized crystal structure of CeTmMnIn, computed with PBE.

abc: 5.1973 5.1973 5.1973
angles: 60.00 60.00 60.00
Element x y z (fractional)
Ce 0.0000 0.0000 0.0000
Tm 0.5000 0.5000 0.5000
Mn 0.7500 0.7500 0.7500
In 0.2500 0.2500 0.2500

N(E_F)	1.600	states/eV/atom
raw total energy	-5.61	eV per atom
calculated density	8.01	g cm⁻³
SG	No. 216

---

Entry 4:
An optimized crystal structure of Ta3Be8Tc, computed with PBE.

abc: 4.5421 4.5421 7.4399
angles: 90.00 90.00 120.00
Element x y z (fractional)
Ta 0.0000 0.0000 0.0000
Ta 0.0000 0.0000 0.3745
Ta 0.3333 0.6667 0.8600
Be 0.0088 0.5044 0.1850
Be 0.3262 0.1631 0.6801
Be 0.4956 0.5044 0.1850
Be 0.4956 0.9912 0.1850
Be 0.6667 0.3333 0.4331
Be 0.6667 0.3333 0.9332
Be 0.8369 0.1631 0.6801
Be 0.8369 0.6738 0.6801
Tc 0.3333 0.6667 0.4974

N(E_F)	0.511	states/eV/atom
raw total energy	-6.62	eV per atom
calculated density	8.91	g cm⁻³
SG	No. 156

---

Entry 5:
An optimized crystal structure of BaPm2PrHg4, computed with PBE.

abc: 9.6767 9.6767 9.6767
angles: 33.17 33.17 33.17
Element x y z (fractional)
Ba 0.0000 0.0000 0.0000
Pm 0.2481 0.2481 0.2481
Pm 0.7519 0.7519 0.7519
Pr 0.5000 0.5000 0.5000
Hg 0.1290 0.1290 0.1290
Hg 0.3819 0.3819 0.3819
Hg 0.6181 0.6181 0.6181
Hg 0.8710 0.8710 0.8710

N(E_F)	0.936	states/eV/atom
raw total energy	-2.61	eV per atom
calculated density	9.43	g cm⁻³
SG	No. 166

---

Entry 6:
An optimized crystal structure of SmDyTlSe, computed with PBE.

abc: 3.9388 3.9388 8.6189
angles: 103.16 103.16 60.06
Element x y z (fractional)
Sm 0.0000 0.0000 0.0000
Dy 0.1920 0.1920 0.5764
Tl 0.7645 0.7645 0.2934
Se 0.5929 0.5929 0.7790

N(E_F)	0.861	states/eV/atom
raw total energy	-4.81	eV per atom
calculated density	8.86	g cm⁻³
SG	No. 8

---

Entry 7:
An optimized crystal structure of Ba2SrAs, computed with PBE.

abc: 6.9586 6.9586 6.9586
angles: 136.67 136.67 62.95
Element x y z (fractional)
Ba 0.0000 0.0000 0.0000
Ba 0.7500 0.2500 0.5000
Sr 0.2500 0.7500 0.5000
As 0.5000 0.5000 0.0000

N(E_F)	0.793	states/eV/atom
raw total energy	-2.84	eV per atom
calculated density	4.63	g cm⁻³
SG	No. 119

---

Entry 8:
An optimized crystal structure of Sc2SbBr, computed with PBE.

abc: 6.4156 6.4156 6.4156
angles: 150.04 133.44 56.36
Element x y z (fractional)
Sc 0.0000 0.0000 0.0000
Sc 0.7397 0.2397 0.5000
Sb 0.4986 0.4986 0.0000
Br 0.2110 0.7110 0.5000

N(E_F)	0.962	states/eV/atom
raw total energy	-5.23	eV per atom
calculated density	5.09	g cm⁻³
SG	No. 44
distance to the lowest polymorph of the same formula	0.230	eV per atom